No. 1
A geometry-optimized Na8B15C structure. Source: Alexandria, functional PBE.

Cell lengths 2.9328, 8.6650, 10.6500 Å; angles 90.00, 90.00, 90.00 degrees
Element x y z (fractional)
Na 0.0000 0.2461 0.0000
Na 0.0000 0.2512 0.5005
Na 0.0000 0.7488 0.5005
Na 0.0000 0.7539 0.0000
Na 0.5000 0.2491 0.7510
Na 0.5000 0.2504 0.2501
Na 0.5000 0.7496 0.2501
Na 0.5000 0.7509 0.7510
B 0.0000 0.0000 0.1724
B 0.0000 0.0000 0.3380
B 0.0000 0.0000 0.6672
B 0.0000 0.0000 0.8267
B 0.0000 0.5000 0.1645
B 0.0000 0.5000 0.3253
B 0.0000 0.5000 0.6796
B 0.0000 0.5000 0.8440
B 0.5000 0.0000 0.0835
B 0.5000 0.0000 0.4132
B 0.5000 0.0000 0.5783
B 0.5000 0.0000 0.9244
B 0.5000 0.5000 0.0654
B 0.5000 0.5000 0.4211
B 0.5000 0.5000 0.5829
C 0.5000 0.5000 0.9180

Summary:
Uncorrected energy ... -4.7201 eV per atom
SG ... Pmm2
Total magnetic moment ... 0.0000 μB per atom
Formation energy ... 0.28 eV per atom
Energy above the most stable polymorph in this dataset ... 8 meV per atom
D(E_F) ... 0.273 states/eV/atom



No. 2
A geometry-optimized Na5B8C2 structure. Source: Alexandria, functional PBE.

Cell lengths 9.1184, 9.1184, 13.5763 Å; angles 112.07, 112.07, 17.98 degrees
Element x y z (fractional)
Na 0.0000 0.0000 0.0000
Na 0.0001 0.0001 0.4970
Na 0.1977 0.1977 0.3984
Na 0.2007 0.2007 0.9009
Na 0.3996 0.3996 0.7998
Na 0.4017 0.4017 0.2956
Na 0.5978 0.5978 0.1988
Na 0.6016 0.6016 0.6983
Na 0.7981 0.7981 0.5991
Na 0.7999 0.7999 0.0989
B 0.0308 0.0308 0.3101
B 0.0313 0.0313 0.8116
B 0.1638 0.1638 0.5760
B 0.1713 0.1713 0.0924
B 0.2335 0.2335 0.7163
B 0.2374 0.2374 0.2239
B 0.3644 0.3644 0.4783
B 0.3660 0.3660 0.9819
B 0.4273 0.4273 0.6036
B 0.5702 0.5702 0.3889
B 0.5700 0.5700 0.8901
B 0.6346 0.6346 0.0191
B 0.7732 0.7732 0.7961
B 0.8254 0.8254 0.3993
B 0.9601 0.9601 0.1700
B 0.9687 0.9687 0.6855
C 0.4290 0.4290 0.1087
C 0.6328 0.6328 0.5138
C 0.7665 0.7665 0.2813
C 0.8349 0.8349 0.9196

Summary:
Uncorrected energy ... -5.0394 eV per atom
SG ... Cm
Total magnetic moment ... 0.0000 μB per atom
Formation energy ... 0.19 eV per atom
Energy above the most stable polymorph in this dataset ... 21 meV per atom
D(E_F) ... 0.289 states/eV/atom



No. 3
A geometry-optimized Na5B8C2 structure. Source: Alexandria, functional PBE.

Cell lengths 8.6587, 13.3047, 13.3047 Å; angles 12.14, 90.00, 90.00 degrees
Element x y z (fractional)
Na 0.2474 0.0000 0.0000
Na 0.2492 0.6023 0.6023
Na 0.2512 0.4006 0.4006
Na 0.2513 0.8021 0.8021
Na 0.2519 0.2031 0.2031
Na 0.7481 0.2031 0.2031
Na 0.7488 0.4006 0.4006
Na 0.7487 0.8021 0.8021
Na 0.7508 0.6023 0.6023
Na 0.7526 0.0000 0.0000
B 0.0000 0.0745 0.0745
B 0.0000 0.1376 0.1376
B 0.0000 0.2689 0.2689
B 0.0000 0.4674 0.4674
B 0.0000 0.5314 0.5314
B 0.0000 0.6790 0.6790
B 0.0000 0.8601 0.8601
B 0.0000 0.9269 0.9269
B 0.5000 0.0689 0.0689
B 0.5000 0.1321 0.1321
B 0.5000 0.3309 0.3309
B 0.5000 0.5262 0.5262
B 0.5000 0.6741 0.6741
B 0.5000 0.7399 0.7399
B 0.5000 0.8706 0.8706
B 0.5000 0.9365 0.9365
C 0.0000 0.3298 0.3298
C 0.0000 0.7380 0.7380
C 0.5000 0.2708 0.2708
C 0.5000 0.4679 0.4679

Summary:
Uncorrected energy ... -5.0518 eV per atom
SG ... Amm2
Total magnetic moment ... 0.0000 μB per atom
Formation energy ... 0.18 eV per atom
Energy above the most stable polymorph in this dataset ... 9 meV per atom
D(E_F) ... 0.156 states/eV/atom



No. 4
A geometry-optimized Na5B8C2 structure. Source: Alexandria, functional PBE.

Cell lengths 8.6340, 7.7625, 7.7625 Å; angles 141.73, 90.00, 90.00 degrees
Element x y z (fractional)
Na 0.2448 0.0000 0.0000
Na 0.2477 0.3994 0.5989
Na 0.2477 0.5989 0.3994
Na 0.2487 0.2039 0.8025
Na 0.2487 0.8025 0.2039
Na 0.7513 0.2039 0.8025
Na 0.7513 0.8025 0.2039
Na 0.7523 0.3994 0.5989
Na 0.7523 0.5989 0.3994
Na 0.7552 0.0000 0.0000
B 0.0000 0.0778 0.2798
B 0.0000 0.2798 0.0778
B 0.0000 0.4509 0.8608
B 0.0000 0.6465 0.6465
B 0.0000 0.7367 0.9390
B 0.0000 0.8608 0.4509
B 0.0000 0.9390 0.7367
B 0.5000 0.0566 0.2599
B 0.5000 0.1463 0.5375
B 0.5000 0.2599 0.0566
B 0.5000 0.3382 0.3382
B 0.5000 0.4807 0.8849
B 0.5000 0.5375 0.1463
B 0.5000 0.7287 0.9099
B 0.5000 0.8849 0.4807
B 0.5000 0.9099 0.7287
C 0.0000 0.1349 0.5348
C 0.0000 0.3380 0.3380
C 0.0000 0.5348 0.1349
C 0.5000 0.6552 0.6552

Summary:
Uncorrected energy ... -5.0215 eV per atom
SG ... Amm2
Total magnetic moment ... 0.0000 μB per atom
Formation energy ... 0.21 eV per atom
Energy above the most stable polymorph in this dataset ... 39 meV per atom
D(E_F) ... 0.301 states/eV/atom



No. 5
A geometry-optimized Na5B6C4 structure. Source: Alexandria, functional PBE.

Cell lengths 2.8553, 2.8553, 42.3783 Å; angles 90.00, 90.00, 120.00 degrees
Element x y z (fractional)
Na 0.0000 0.0000 0.0000
Na 0.0000 0.0000 0.0991
Na 0.0000 0.0000 0.1983
Na 0.0000 0.0000 0.2975
Na 0.0000 0.0000 0.3971
Na 0.0000 0.0000 0.5000
Na 0.0000 0.0000 0.6029
Na 0.0000 0.0000 0.7025
Na 0.0000 0.0000 0.8017
Na 0.0000 0.0000 0.9009
B 0.3333 0.6667 0.1487
B 0.3333 0.6667 0.3470
B 0.3333 0.6667 0.4483
B 0.3333 0.6667 0.5517
B 0.3333 0.6667 0.7522
B 0.3333 0.6667 0.9504
B 0.6667 0.3333 0.0496
B 0.6667 0.3333 0.2478
B 0.6667 0.3333 0.4483
B 0.6667 0.3333 0.5517
B 0.6667 0.3333 0.6530
B 0.6667 0.3333 0.8513
C 0.3333 0.6667 0.0495
C 0.3333 0.6667 0.2478
C 0.3333 0.6667 0.6531
C 0.3333 0.6667 0.8513
C 0.6667 0.3333 0.1487
C 0.6667 0.3333 0.3469
C 0.6667 0.3333 0.7522
C 0.6667 0.3333 0.9505

Summary:
Uncorrected energy ... -5.4935 eV per atom
SG ... P-3m1
Total magnetic moment ... 0.0000 μB per atom
Formation energy ... 0.08 eV per atom
Energy above the most stable polymorph in this dataset ... 25 meV per atom
D(E_F) ... 0.133 states/eV/atom



No. 6
A geometry-optimized NaBC structure. Source: Alexandria, functional PBE.

Cell lengths 4.5168, 4.5168, 5.6382 Å; angles 90.00, 90.00, 120.00 degrees
Element x y z (fractional)
Na 0.3333 0.6667 0.2500
Na 0.6667 0.3333 0.7500
B 0.0000 0.0000 0.2500
B 0.0000 0.0000 0.7500
C 0.0000 0.0000 0.0000
C 0.0000 0.0000 0.5000

Summary:
Uncorrected energy ... -5.6527 eV per atom
SG ... P6_3/mmc
Total magnetic moment ... 0.0000 μB per atom
Formation energy ... 0.09 eV per atom
D(E_F) ... 0.000 states/eV/atom



No. 7
A geometry-optimized Na2B3C structure. Source: Alexandria, functional PBE.

Cell lengths 9.0990, 9.0990, 13.4995 Å; angles 112.64, 112.64, 17.94 degrees
Element x y z (fractional)
Na 0.0000 0.0000 0.0000
Na 0.0014 0.0014 0.4955
Na 0.1990 0.1990 0.3985
Na 0.2008 0.2008 0.9003
Na 0.3995 0.3995 0.7985
Na 0.4018 0.4018 0.2965
Na 0.5988 0.5988 0.1995
Na 0.6013 0.6013 0.6969
Na 0.7976 0.7976 0.5984
Na 0.8006 0.8006 0.1001
B 0.0272 0.0272 0.8027
B 0.0306 0.0306 0.3094
B 0.1650 0.1650 0.5764
B 0.1739 0.1739 0.0966
B 0.2335 0.2335 0.7148
B 0.2412 0.2412 0.2304
B 0.3663 0.3663 0.9822
B 0.4227 0.4227 0.5927
B 0.5695 0.5695 0.8887
B 0.5707 0.5707 0.3886
B 0.6340 0.6340 0.0174
B 0.7737 0.7737 0.7960
B 0.8326 0.8326 0.4129
B 0.9606 0.9606 0.1707
B 0.9644 0.9644 0.6759
C 0.3630 0.3630 0.4741
C 0.4295 0.4295 0.1093
C 0.6338 0.6338 0.5134
C 0.7711 0.7711 0.2896
C 0.8352 0.8352 0.9198

Summary:
Uncorrected energy ... -5.1624 eV per atom
SG ... Cm
Total magnetic moment ... 0.0000 μB per atom
Formation energy ... 0.15 eV per atom
Energy above the most stable polymorph in this dataset ... 20 meV per atom
D(E_F) ... 0.321 states/eV/atom



No. 8
A geometry-optimized Na3B5C structure. Source: Alexandria, functional PBE.

Cell lengths 2.9530, 2.9530, 25.8177 Å; angles 90.00, 90.00, 120.00 degrees
Element x y z (fractional)
Na 0.0000 0.0000 0.0840
Na 0.0000 0.0000 0.2475
Na 0.0000 0.0000 0.4156
Na 0.0000 0.0000 0.5844
Na 0.0000 0.0000 0.7525
Na 0.0000 0.0000 0.9160
B 0.3333 0.6667 0.0000
B 0.3333 0.6667 0.1660
B 0.3333 0.6667 0.3316
B 0.3333 0.6667 0.5000
B 0.3333 0.6667 0.6684
B 0.3333 0.6667 0.8340
B 0.6667 0.3333 0.0000
B 0.6667 0.3333 0.3316
B 0.6667 0.3333 0.5000
B 0.6667 0.3333 0.6684
C 0.6667 0.3333 0.1660
C 0.6667 0.3333 0.8340

Summary:
Uncorrected energy ... -4.9325 eV per atom
SG ... P-6m2
Total magnetic moment ... 0.0000 μB per atom
Formation energy ... 0.24 eV per atom
Energy above the most stable polymorph in this dataset ... 50 meV per atom
D(E_F) ... 0.356 states/eV/atom



No. 9
A geometry-optimized Na2B3C structure. Source: Alexandria, functional PBE.

Cell lengths 9.0520, 9.0520, 13.3688 Å; angles 112.85, 112.85, 18.32 degrees
Element x y z (fractional)
Na 0.0000 0.0000 0.0000
Na 0.0004 0.0004 0.4962
Na 0.1996 0.1996 0.3961
Na 0.2033 0.2033 0.8995
Na 0.4004 0.4004 0.2967
Na 0.4014 0.4014 0.7997
Na 0.6001 0.6001 0.1976
Na 0.6027 0.6027 0.6979
Na 0.7993 0.7993 0.5991
Na 0.8022 0.8022 0.0986
B 0.0312 0.0312 0.3084
B 0.0351 0.0351 0.8163
B 0.1650 0.1650 0.0759
B 0.1677 0.1677 0.5818
B 0.2327 0.2327 0.2112
B 0.2402 0.2402 0.7273
B 0.3651 0.3651 0.4774
B 0.4312 0.4312 0.6094
B 0.4347 0.4347 0.1150
B 0.5751 0.5751 0.8964
B 0.6271 0.6271 0.5004
B 0.7659 0.7659 0.2775
B 0.8341 0.8341 0.4147
B 0.8375 0.8375 0.9215
B 0.9705 0.9705 0.6871
C 0.3695 0.3695 0.9855
C 0.5636 0.5636 0.3734
C 0.6353 0.6353 0.0167
C 0.7720 0.7720 0.7912
C 0.9671 0.9671 0.1792

Summary:
Uncorrected energy ... -5.1467 eV per atom
SG ... Cm
Total magnetic moment ... 0.0000 μB per atom
Formation energy ... 0.17 eV per atom
Energy above the most stable polymorph in this dataset ... 36 meV per atom
D(E_F) ... 0.230 states/eV/atom



No. 10
A geometry-optimized Na5B8C2 structure. Source: Alexandria, functional PBE.

Cell lengths 13.2847, 13.2847, 8.6808 Å; angles 90.00, 90.00, 167.84 degrees
Element x y z (fractional)
Na 0.0000 0.0000 0.0000
Na 0.0000 0.0000 0.5000
Na 0.1997 0.8003 0.5015
Na 0.1997 0.8003 0.9985
Na 0.4006 0.5994 0.0008
Na 0.4006 0.5994 0.4992
Na 0.5994 0.4006 0.5008
Na 0.5994 0.4006 0.9992
Na 0.8003 0.1997 0.0015
Na 0.8003 0.1997 0.4985
B 0.0658 0.9342 0.7500
B 0.1300 0.8700 0.7500
B 0.1327 0.8673 0.2500
B 0.2641 0.7359 0.2500
B 0.2776 0.7224 0.7500
B 0.3272 0.6728 0.2500
B 0.4585 0.5415 0.7500
B 0.4745 0.5255 0.2500
B 0.5255 0.4745 0.7500
B 0.5415 0.4585 0.2500
B 0.6728 0.3272 0.7500
B 0.7224 0.2776 0.2500
B 0.7359 0.2641 0.7500
B 0.8673 0.1327 0.7500
B 0.8700 0.1300 0.2500
B 0.9342 0.0658 0.2500
C 0.0715 0.9285 0.2500
C 0.3365 0.6635 0.7500
C 0.6635 0.3365 0.2500
C 0.9285 0.0715 0.7500

Summary:
Uncorrected energy ... -5.0570 eV per atom
SG ... Cmcm
Total magnetic moment ... 0.0000 μB per atom
Formation energy ... 0.17 eV per atom
Energy above the most stable polymorph in this dataset ... 3 meV per atom
D(E_F) ... 0.099 states/eV/atom



No. 11
A geometry-optimized Na5B8C2 structure. Source: Alexandria, functional PBE.

Cell lengths 9.1078, 9.1078, 13.5884 Å; angles 112.16, 112.16, 18.01 degrees
Element x y z (fractional)
Na 0.0000 0.0000 0.0000
Na 0.0001 0.0001 0.4962
Na 0.1990 0.1990 0.3973
Na 0.2017 0.2017 0.8990
Na 0.4000 0.4000 0.7981
Na 0.4018 0.4018 0.2970
Na 0.6006 0.6006 0.1986
Na 0.6015 0.6015 0.6960
Na 0.7985 0.7985 0.5967
Na 0.8026 0.8026 0.0976
B 0.0322 0.0322 0.8107
B 0.1613 0.1613 0.5687
B 0.1728 0.1728 0.0910
B 0.2314 0.2314 0.7097
B 0.2380 0.2380 0.2230
B 0.3654 0.3654 0.4774
B 0.3645 0.3645 0.9754
B 0.4281 0.4281 0.6026
B 0.4338 0.4338 0.1149
B 0.5673 0.5673 0.3806
B 0.5710 0.5710 0.8891
B 0.6359 0.6359 0.0181
B 0.7710 0.7710 0.7888
B 0.8258 0.8258 0.3988
B 0.9695 0.9695 0.6848
B 0.9739 0.9739 0.1947
C 0.0361 0.0361 0.3182
C 0.6307 0.6307 0.5072
C 0.7663 0.7663 0.2809
C 0.8334 0.8334 0.9130

Summary:
Uncorrected energy ... -5.0395 eV per atom
SG ... Cm
Total magnetic moment ... 0.0000 μB per atom
Formation energy ... 0.19 eV per atom
Energy above the most stable polymorph in this dataset ... 21 meV per atom
D(E_F) ... 0.286 states/eV/atom



No. 12
A geometry-optimized Na2B3C structure. Source: Alexandria, functional PBE.

Cell lengths 7.7384, 7.7384, 9.0896 Å; angles 107.76, 107.76, 37.81 degrees
Element x y z (fractional)
Na 0.0487 0.0487 0.2447
Na 0.1487 0.1512 0.7530
Na 0.2428 0.2543 0.2476
Na 0.3450 0.3557 0.7547
Na 0.4486 0.4487 0.2441
Na 0.5513 0.5514 0.7559
Na 0.6443 0.6550 0.2453
Na 0.7457 0.7572 0.7524
Na 0.8488 0.8513 0.2470
Na 0.9513 0.9513 0.7553
B 0.0133 0.3929 0.5004
B 0.1322 0.4678 0.0002
B 0.1690 0.8310 0.5000
B 0.2384 0.5554 0.4997
B 0.3144 0.6856 0.0000
B 0.3461 0.0438 0.5002
B 0.4446 0.7616 0.5003
B 0.5322 0.8678 0.9998
B 0.5922 0.2274 0.5000
B 0.6071 0.9867 0.4996
B 0.6657 0.3343 0.0000
B 0.7290 0.0594 0.0006
B 0.7726 0.4078 0.5000
B 0.9406 0.2710 0.9994
B 0.9562 0.6539 0.4998
C 0.0636 0.7339 0.0006
C 0.2661 0.9364 0.9994
C 0.4670 0.1273 0.0007
C 0.8470 0.1530 0.5000
C 0.8727 0.5330 0.9993

Summary:
Uncorrected energy ... -5.1369 eV per atom
SG ... C2
Total magnetic moment ... 0.0000 μB per atom
Formation energy ... 0.18 eV per atom
Energy above the most stable polymorph in this dataset ... 46 meV per atom
D(E_F) ... 0.172 states/eV/atom



No. 13
A geometry-optimized Na2B3C structure. Source: Alexandria, functional PBE.

Cell lengths 8.6614, 2.7829, 10.5232 Å; angles 90.00, 90.00, 90.00 degrees
Element x y z (fractional)
Na 0.0000 0.0000 0.0000
Na 0.0000 0.0000 0.5000
Na 0.0000 0.5000 0.2493
Na 0.0000 0.5000 0.7507
Na 0.5000 0.0000 0.0000
Na 0.5000 0.0000 0.5000
Na 0.5000 0.5000 0.2493
Na 0.5000 0.5000 0.7507
B 0.2500 0.0000 0.1731
B 0.2500 0.0000 0.3357
B 0.2500 0.0000 0.6689
B 0.2500 0.5000 0.0649
B 0.2500 0.5000 0.4426
B 0.2500 0.5000 0.8984
B 0.7500 0.0000 0.3311
B 0.7500 0.0000 0.6643
B 0.7500 0.0000 0.8269
B 0.7500 0.5000 0.1016
B 0.7500 0.5000 0.5574
B 0.7500 0.5000 0.9351
C 0.2500 0.0000 0.8215
C 0.2500 0.5000 0.5901
C 0.7500 0.0000 0.1785
C 0.7500 0.5000 0.4099

Summary:
Uncorrected energy ... -5.1765 eV per atom
SG ... Pmma
Total magnetic moment ... 0.0000 μB per atom
Formation energy ... 0.14 eV per atom
Energy above the most stable polymorph in this dataset ... 6 meV per atom
D(E_F) ... 0.083 states/eV/atom